Entry from Alexandria via LeMat-Bulk: a geometry-optimized SrSn3Rh2 structure (GGA-PBE).

```
SrSn3Rh2
1.0
8.829 -2.232 0.000
8.829 2.232 0.000
-3.451 0.000 10.474
Sr Sn Rh
3 9 6
Direct
0.000 0.000 0.000
0.157 0.157 0.702
0.843 0.843 0.298
0.043 0.043 0.347
0.222 0.222 0.383
0.333 0.333 0.053
0.373 0.373 0.812
0.500 0.500 0.500
0.627 0.627 0.188
0.667 0.667 0.947
0.778 0.778 0.617
0.957 0.957 0.653
0.197 0.197 0.117
0.362 0.362 0.563
0.481 0.481 0.230
0.519 0.519 0.770
0.638 0.638 0.437
0.803 0.803 0.883
```

Computed properties:
* space-group type: No. 12
* formation enthalpy at 0 K: -0.525 eV per atom
* volume: 413 Å³/cell
* total moment: 0.0000 μB per atom



Entry from Alexandria via LeMat-Bulk: a geometry-optimized TiCo3H structure (GGA-PBE).

```
TiCo3H
1.0
4.262 0.000 0.000
0.000 5.196 0.000
-0.072 0.000 4.508
Ti Co H
2 6 2
Direct
0.249 0.250 0.341
0.751 0.750 0.659
0.218 0.750 0.319
0.237 0.515 0.843
0.237 0.985 0.843
0.763 0.015 0.157
0.763 0.485 0.157
0.782 0.250 0.681
0.410 0.250 0.748
0.590 0.750 0.252
```

Computed properties:
* space-group type: No. 11
* distance to the lowest polymorph of the same formula: 0.1302 eV/atom
* volume: 100 Å³/cell
* total moment: 0.4499 μB per atom



Entry from Alexandria via LeMat-Bulk: a geometry-optimized Cs3Na2ErBr8 structure (GGA-PBE).

```
Cs3Na2ErBr8
1.0
7.993 0.000 0.000
-3.996 6.922 0.000
0.000 0.000 10.745
Cs Na Er Br
3 2 1 8
Direct
0.000 0.000 0.000
0.333 0.667 0.625
0.667 0.333 0.375
0.333 0.667 0.192
0.667 0.333 0.808
0.000 0.000 0.500
0.161 0.322 0.346
0.161 0.839 0.346
0.322 0.161 0.654
0.333 0.667 0.942
0.667 0.333 0.058
0.678 0.839 0.346
0.839 0.161 0.654
0.839 0.678 0.654
```

Computed properties:
* space-group type: No. 164
* total DFT energy (no corrections): -3.37 eV/atom
* volume: 594 Å³/cell
* total moment: 0.0000 μB per atom



Entry from Alexandria via LeMat-Bulk: a geometry-optimized Ba2ZnBiF structure (GGA-PBE).

```
Ba2ZnBiF
1.0
6.763 0.000 0.000
0.000 6.763 0.000
0.000 0.000 5.333
Ba Zn Bi F
2 1 1 1
Direct
0.000 0.500 0.000
0.500 0.000 0.000
0.000 0.000 0.500
0.000 0.000 0.000
0.500 0.500 0.500
```

Computed properties:
* space-group type: No. 123
* total DFT energy (no corrections): -2.82 eV/atom
* volume: 244 Å³/cell
* total moment: 0.0004 μB per atom